(1)
Computed, not measured: a crystal of Si2BiCl relaxed with PBEsol at the meta-GGA SCAN level of DFT.

Properties
Energy: -208.22 eV/cell
Formation energy without anion corrections: 0.620 eV per atom
Density of states at the Fermi level: 3.50 states/eV/cell

Cell lengths 10.9909, 10.9909, 10.9909 Å; angles 158.75, 158.75, 30.23 degrees
Fractional positions:
Si: 0.0736 0.6250 0.9486
Si: 0.3750 0.3236 0.4486
Si: 0.6764 0.1250 0.0514
Si: 0.8750 0.9264 0.5514
Bi: 0.2500 0.7500 0.5000
Bi: 0.5000 0.5000 0.0000
Cl: 0.0000 0.0000 0.0000
Cl: 0.7500 0.2500 0.5000


(2)
Computed, not measured: a crystal of KRb2GeN relaxed with PBEsol at the meta-GGA SCAN level of DFT.

Properties
Energy: -73.55 eV/cell
Formation energy without anion corrections: 0.928 eV per atom
Density of states at the Fermi level: 1.26 states/eV/cell

Cell lengths 6.5375, 6.5375, 4.3418 Å; angles 90.00, 90.00, 90.00 degrees
Fractional positions:
K: 0.0000 0.0000 0.0000
Rb: 0.0000 0.5000 0.0000
Rb: 0.5000 0.0000 0.0000
Ge: 0.5000 0.5000 0.5000
N: 0.0000 0.0000 0.5000


(3)
Computed, not measured: a crystal of ZrAsP relaxed with PBEsol at the meta-GGA SCAN level of DFT.

Properties
Energy relative to the lowest polymorph listed for this composition: 0 meV per atom
Energy: -62.43 eV/cell
Density of states at the Fermi level: 1.71 states/eV/cell

Cell lengths 4.4524, 4.4524, 4.4524 Å; angles 60.00, 60.00, 60.00 degrees
Fractional positions:
Zr: 0.0000 0.0000 0.0000
As: 0.7500 0.7500 0.7500
P: 0.2500 0.2500 0.2500


(4)
Computed, not measured: a crystal of Cd3BiPt relaxed with PBEsol at the meta-GGA SCAN level of DFT.

Properties
Energy: -234.88 eV/cell
Density of states at the Fermi level: 2.55 states/eV/cell

Cell lengths 5.4387, 5.4387, 5.4387 Å; angles 90.00, 90.00, 90.00 degrees
Fractional positions:
Cd: 0.0000 0.0000 0.5000
Cd: 0.0000 0.5000 0.0000
Cd: 0.5000 0.0000 0.0000
Bi: 0.0000 0.0000 0.0000
Pt: 0.5000 0.5000 0.5000


Q: Which of these has the highest energy?
A: ZrAsP


Q: What is the density of states at the Fermi level in the fourth record?
A: 2.55 states/eV/cell


Q: Among the records above, which one has the lowest energy?
A: Cd3BiPt